# ZnSn2HgAu

A relaxed ZnSn2HgAu crystal (PBE-GGA, Alexandria via LeMat-Bulk).

## Properties
E (eV per atom): -2.28
D(E_F) (states/eV per cell): 4.0
Energy relative to the elements (meV/atom): 294

a = 5.2736 Å, b = 5.2736 Å, c = 4.8934 Å
α = 90.00°, β = 90.00°, γ = 90.00°
Space group P4/mmm (No. 123)
Asymmetric unit:
Zn (0.0000, 0.0000, 0.0000)
Sn (0.0000, 0.5000, 0.0000)
Hg (0.5000, 0.5000, 0.5000)
Au (0.0000, 0.0000, 0.5000)